Record 1
This record from Alexandria via LeMat-Bulk describes a relaxed RbBi2B2S6 crystal. The functional is GGA-PBE.

abc: 9.270 6.767 6.426
angles: 108.31 91.19 60.60
Fractional coordinates of all 11 atoms:
Rb  0.500  0.000  0.500
Bi  0.856  0.351  0.762
Bi  0.144  0.649  0.238
B  0.198  0.766  0.828
B  0.802  0.234  0.172
S  0.264  0.861  0.092
S  0.857  0.465  0.222
S  0.188  0.920  0.635
S  0.143  0.535  0.778
S  0.812  0.080  0.365
S  0.736  0.139  0.908

Computed properties:
- E_form (uncorrected): -0.452 eV/atom


Record 2
This record from Alexandria via LeMat-Bulk describes a relaxed Bi6IrAu crystal. The functional is GGA-PBE.

abc: 8.648 8.648 8.736
angles: 109.10 109.37 109.53
Fractional coordinates of all 16 atoms:
Bi  0.158  0.643  0.801
Bi  0.842  0.357  0.199
Bi  0.845  0.674  0.519
Bi  0.155  0.326  0.481
Bi  0.816  0.149  0.650
Bi  0.184  0.851  0.350
Bi  0.501  0.834  0.650
Bi  0.499  0.166  0.350
Bi  0.669  0.816  0.166
Bi  0.331  0.184  0.834
Bi  0.650  0.503  0.834
Bi  0.350  0.497  0.166
Ir  0.000  0.000  0.500
Ir  0.500  0.500  0.500
Au  0.000  0.500  0.000
Au  0.500  0.000  0.000

Computed properties:
- ΔE to the lowest computed polymorph: 0.000 eV/atom


Record 3
This record from Alexandria via LeMat-Bulk describes a relaxed NdNpAlO6 crystal. The functional is GGA-PBE.

abc: 5.278 5.278 10.259
angles: 90.00 90.00 120.00
Last column: magnetic moment on the atom in μB.
Fractional coordinates of all 18 atoms:
Nd  0.000  0.000  0.000  0.00
Nd  0.000  0.000  0.500  0.00
Np  0.333  0.667  0.250  1.21
Np  0.667  0.333  0.750  1.21
Al  0.667  0.333  0.250  0.00
Al  0.333  0.667  0.750  0.00
O  0.648  0.629  0.144  -0.03
O  0.981  0.352  0.144  -0.03
O  0.352  0.981  0.644  -0.03
O  0.019  0.648  0.856  -0.03
O  0.371  0.352  0.356  -0.03
O  0.981  0.629  0.356  -0.03
O  0.629  0.981  0.856  -0.03
O  0.648  0.019  0.356  -0.03
O  0.019  0.371  0.644  -0.03
O  0.371  0.019  0.144  -0.03
O  0.629  0.648  0.644  -0.03
O  0.352  0.371  0.856  -0.03

Computed properties:
- E_form (uncorrected): -3.003 eV/atom


Record 4
This record from Alexandria via LeMat-Bulk describes a relaxed HoErAlAu crystal. The functional is GGA-PBE.

abc: 5.097 5.097 5.097
angles: 60.00 60.00 60.00
Fractional coordinates of all 4 atoms:
Al  0.500  0.500  0.500
Au  0.000  0.000  0.000
Ho  0.750  0.750  0.750
Er  0.250  0.250  0.250

Computed properties:
- ΔE to the lowest computed polymorph: 0.048 eV/atom


Record 5
This record from Alexandria via LeMat-Bulk describes a relaxed TbCo2B crystal. The functional is GGA-PBE.

abc: 3.165 4.993 4.342
angles: 125.09 90.00 90.00
Last column: magnetic moment on the atom in μB.
Fractional coordinates of all 4 atoms:
Tb  0.500  0.000  0.000  -0.07
Co  0.000  0.333  0.667  0.61
Co  0.000  0.667  0.333  0.61
B  0.500  0.500  0.000  -0.04

Computed properties:
- E_tot: -6.43 eV/atom


Record 6
This record from Alexandria via LeMat-Bulk describes a relaxed KYFe2 crystal. The functional is GGA-PBE.

abc: 4.897 4.897 4.897
angles: 120.11 120.11 89.81
Last column: magnetic moment on the atom in μB.
Fractional coordinates of all 4 atoms:
Fe  0.000  0.000  0.000  2.41
Fe  0.250  0.750  0.500  2.77
K  0.500  0.500  0.000  -0.06
Y  0.750  0.250  0.500  -0.42

Computed properties:
- ΔE to the lowest computed polymorph: 0.598 eV/atom